1.
Here is a geometry-optimized LiEr3Sn2 structure from Alexandria. Energies are from PBE-GGA.

Properties
Energy of formation from the pure elements, eV/atom: -0.501
Total energy, eV/atom: -4.44
Theoretical density, Mg/m³: 7.760

Cell lengths 6.2986, 6.2662, 9.2297 Å; angles 109.84, 109.95, 90.00 degrees
Last column: nearest neighbours and their distance in Å.
Positions (direct):
Li1 0.0000 0.2500 0.0000  4 Sn 3.06, 2 Li 3.13, 2 Er 3.15
Li2 0.0000 0.7500 0.0000  4 Sn 3.06, 2 Li 3.13, 2 Er 3.15
Er1 0.4221 0.6764 0.3529  5 Sn 3.10-3.30
Er2 0.5779 0.3236 0.6471  5 Sn 3.10-3.30
Er3 0.0692 0.8236 0.6471  5 Sn 3.10-3.30
Er4 0.9308 0.1764 0.3529  5 Sn 3.10-3.30
Er5 0.5000 0.7500 0.0000  4 Sn 3.10, 2 Er 3.13, 2 Li 3.15
Er6 0.5000 0.2500 0.0000  4 Sn 3.10, 2 Er 3.13, 2 Li 3.15
Sn1 0.3749 0.1320 0.2639  2 Li 3.06, 7 Er 3.10-3.30
Sn2 0.6251 0.8680 0.7361  2 Li 3.06, 7 Er 3.10-3.30
Sn3 0.1110 0.3680 0.7361  2 Li 3.06, 7 Er 3.10-3.30
Sn4 0.8890 0.6320 0.2639  2 Li 3.06, 7 Er 3.10-3.30



2.
Here is a geometry-optimized Li2ErSn9 structure from Alexandria. Energies are from PBE-GGA.

Properties
Energy of formation from the pure elements, eV/atom: -0.221
Total energy, eV/atom: -3.92
Theoretical density, Mg/m³: 6.845

Cell lengths 4.6135, 4.6135, 14.2422 Å; angles 90.00, 90.00, 90.00 degrees
Last column: nearest neighbours and their distance in Å.
Positions (direct):
Li1 0.0000 0.0000 0.3339  12 Sn 3.26-3.30
Li2 0.0000 0.0000 0.6661  12 Sn 3.26-3.30
Er1 0.0000 0.0000 0.0000  12 Sn 3.26-3.36
Sn1 0.5000 0.5000 0.0000  4 Er 3.26, 8 Sn 3.36
Sn2 0.5000 0.5000 0.3363  4 Li 3.26, 8 Sn 3.28-3.29
Sn3 0.5000 0.5000 0.6637  4 Li 3.26, 8 Sn 3.28-3.29
Sn4 0.5000 0.0000 0.1713  8 Sn 3.26-3.36, 2 Li 3.27, 2 Er 3.36
Sn5 0.5000 0.0000 0.5000  8 Sn 3.26-3.28, 4 Li 3.30
Sn6 0.5000 0.0000 0.8287  8 Sn 3.26-3.36, 2 Li 3.27, 2 Er 3.36
Sn7 0.0000 0.5000 0.1713  8 Sn 3.26-3.36, 2 Li 3.27, 2 Er 3.36
Sn8 0.0000 0.5000 0.5000  8 Sn 3.26-3.28, 4 Li 3.30
Sn9 0.0000 0.5000 0.8287  8 Sn 3.26-3.36, 2 Li 3.27, 2 Er 3.36



3.
Here is a geometry-optimized Li3ErSn3 structure from Alexandria. Energies are from PBE-GGA.

Properties
Energy of formation from the pure elements, eV/atom: 0.248
Total energy, eV/atom: -2.94
Theoretical density, Mg/m³: 5.069

Cell lengths 7.0911, 7.0911, 7.0911 Å; angles 90.00, 90.00, 90.00 degrees
Last column: nearest neighbours and their distance in Å.
Positions (direct):
Li1 0.2500 0.0000 0.5000  4 Sn 2.51
Li2 0.0000 0.5000 0.2500  4 Sn 2.51
Li3 0.5000 0.7500 0.0000  4 Sn 2.51
Li4 0.7500 0.0000 0.5000  4 Sn 2.51
Li5 0.0000 0.5000 0.7500  4 Sn 2.51
Li6 0.5000 0.2500 0.0000  4 Sn 2.51
Sn1 0.0000 0.2500 0.5000  4 Li 2.51
Sn2 0.0000 0.7500 0.5000  4 Li 2.51
Sn3 0.5000 0.0000 0.7500  4 Li 2.51
Sn4 0.7500 0.5000 0.0000  4 Li 2.51
Sn5 0.5000 0.0000 0.2500  4 Li 2.51
Sn6 0.2500 0.5000 0.0000  4 Li 2.51
Er1 0.5000 0.5000 0.5000  12 Sn 3.96, 12 Li 3.96
Er2 0.0000 0.0000 0.0000  12 Sn 3.96, 12 Li 3.96



Question: Number 1 is which compound?
Answer: LiEr3Sn2



Question: Among the records above, which one has the lowest total energy?
Answer: LiEr3Sn2



Please write out number 3 again, unchanged.
Here is a geometry-optimized Li3ErSn3 structure from Alexandria. Energies are from PBE-GGA.

Properties
Energy of formation from the pure elements, eV/atom: 0.248
Total energy, eV/atom: -2.94
Theoretical density, Mg/m³: 5.069

Cell lengths 7.0911, 7.0911, 7.0911 Å; angles 90.00, 90.00, 90.00 degrees
Last column: nearest neighbours and their distance in Å.
Positions (direct):
Li1 0.2500 0.0000 0.5000  4 Sn 2.51
Li2 0.0000 0.5000 0.2500  4 Sn 2.51
Li3 0.5000 0.7500 0.0000  4 Sn 2.51
Li4 0.7500 0.0000 0.5000  4 Sn 2.51
Li5 0.0000 0.5000 0.7500  4 Sn 2.51
Li6 0.5000 0.2500 0.0000  4 Sn 2.51
Sn1 0.0000 0.2500 0.5000  4 Li 2.51
Sn2 0.0000 0.7500 0.5000  4 Li 2.51
Sn3 0.5000 0.0000 0.7500  4 Li 2.51
Sn4 0.7500 0.5000 0.0000  4 Li 2.51
Sn5 0.5000 0.0000 0.2500  4 Li 2.51
Sn6 0.2500 0.5000 0.0000  4 Li 2.51
Er1 0.5000 0.5000 0.5000  12 Sn 3.96, 12 Li 3.96
Er2 0.0000 0.0000 0.0000  12 Sn 3.96, 12 Li 3.96



Question: The highest theoretical density belongs to which entry?
Answer: LiEr3Sn2